# Ti4OsO

A geometry-optimized Ti4OsO structure (PBE, Alexandria).

Cell lengths 3.075, 5.608, 5.608 Å; angles 94.16, 90.00, 90.00 degrees
Fractional positions:
Os: 0.000 0.500 0.500
O: 0.500 0.000 0.000
Ti: 0.500 0.264 0.736
Ti: 0.500 0.736 0.264
Ti: 0.000 0.822 0.822
Ti: 0.000 0.178 0.178

Results
The value obtained for the raw total energy is -8.656 eV/atom. The space group is Cmmm, No. 65. As for the formation energy (no corrections): -0.69 eV per atom. As for the total moment: 0.000 μB/f.u.